Arrangement A

## Li12Mg7Al (GGA-PBE)

Data for an optimized crystal structure of Li12Mg7Al.

## Properties
Calculated volume in Å³ per atom: 20.39
M_tot in μB per cell: 0.0

Lattice parameters (Å, degrees): 7.431 7.431 7.431 93.70 93.70 93.70
Element x y z (fractional)
Li 0.009 0.357 0.876
Li 0.124 0.991 0.643
Li 0.245 0.751 0.382
Li 0.249 0.618 0.755
Li 0.357 0.876 0.009
Li 0.382 0.245 0.751
Li 0.618 0.755 0.249
Li 0.643 0.124 0.991
Li 0.751 0.382 0.245
Li 0.755 0.249 0.618
Li 0.876 0.009 0.357
Li 0.991 0.643 0.124
Mg 0.000 0.000 0.000
Mg 0.118 0.350 0.439
Mg 0.350 0.439 0.118
Mg 0.439 0.118 0.350
Mg 0.561 0.882 0.650
Mg 0.650 0.561 0.882
Mg 0.882 0.650 0.561
Al 0.500 0.500 0.500


Arrangement B

## Li12Mg7Al (GGA-PBE)

Data for an optimized crystal structure of Li12Mg7Al.

## Properties
Calculated volume in Å³ per atom: 26.90
M_tot in μB per cell: 0.0

Lattice parameters (Å, degrees): 8.874 8.874 8.874 109.47 109.47 109.47
Element x y z (fractional)
Li 0.106 0.355 0.751
Li 0.249 0.605 0.355
Li 0.249 0.894 0.645
Li 0.355 0.249 0.605
Li 0.355 0.751 0.106
Li 0.395 0.645 0.751
Li 0.605 0.355 0.249
Li 0.645 0.249 0.894
Li 0.645 0.751 0.395
Li 0.751 0.106 0.355
Li 0.751 0.395 0.645
Li 0.894 0.645 0.249
Mg 0.000 0.000 0.500
Mg 0.000 0.500 0.000
Mg 0.000 0.500 0.500
Mg 0.500 0.000 0.000
Mg 0.500 0.000 0.500
Mg 0.500 0.500 0.000
Mg 0.500 0.500 0.500
Al 0.000 0.000 0.000


Top of the stability list: arrangement A, leading by 355 meV/atom.